1.
Here is a relaxed RbLa2Fe crystal from Alexandria. Energies are from GGA-PBE.

Summary:
Formation energy: 0.882 eV/atom
Uncorrected energy: -63.0 eV/cell
Calculated volume: 452.0 Å³ per cell
Polymorph energy (0 for the lowest one): 0.559 eV per atom

Cell: 7.674 7.674 7.674 Å, 90.00 90.00 90.00°
Space group Fm-3m (No. 225)
Symmetry-distinct sites (fractional):
Rb (0.000, 0.000, 0.000) [4 per cell]
La (0.250, 0.250, 0.250) [8 per cell]
Fe (0.000, 0.000, 0.500) [4 per cell]


2.
Here is a relaxed Rb2LaFe crystal from Alexandria. Energies are from GGA-PBE.

Summary:
Formation energy: 0.789 eV/atom
Uncorrected energy: -48.7 eV/cell
Calculated volume: 850.1 Å³ per cell
Polymorph energy (0 for the lowest one): 0.000 eV per atom

Cell: 13.561 13.561 4.622 Å, 90.00 90.00 90.00°
Space group I-42d (No. 122)
Symmetry-distinct sites (fractional):
Rb (0.096, 0.250, 0.125) [8 per cell]
La (0.000, 0.000, 0.500) [4 per cell]
Fe (0.000, 0.000, 0.000) [4 per cell]


Question: What is the formation energy in the second record?
Answer: 0.789 eV/atom


Question: Which value of formation energy does entry 2 give?
Answer: 0.789 eV/atom


Question: Look up the uncorrected energy of the first one.
Answer: -63.0 eV/cell